AsOsSe2Br PBE optimized geometry; space group = P4/mmm; spin magnetization = 0.00 Bohr magnetons per cell; energy above the most stable polymorph in this dataset = 0 meV per atom
1.0
4.917 0.000 0.000
0.000 4.917 0.000
0.000 0.000 4.880
As Os Se Br
1 1 2 1
Direct
0.000 0.000 0.000 As
0.000 0.000 0.500 Os
0.000 0.500 0.500 Se
0.500 0.000 0.500 Se
0.500 0.500 0.000 Br